# GGA-PBE NaTlZn2Pb, optimized geometry
data_NaTlZn2Pb
_chemical_formula_sum 'Na1 Tl1 Zn2 Pb1'
_cell_length_a 5.176
_cell_length_b 5.622
_cell_length_c 5.176
_cell_angle_alpha 90.00
_cell_angle_beta 90.00
_cell_angle_gamma 90.00
_symmetry_space_group_name_H-M 'P 1'
_symmetry_Int_Tables_number 1
loop_
_symmetry_equiv_pos_as_xyz
'x,y,z'
loop_
_atom_site_label
_atom_site_type_symbol
_atom_site_fract_x
_atom_site_fract_y
_atom_site_fract_z
Tl1 Tl 0.000 0.000 0.000
Zn1 Zn 0.500 0.000 0.000
Zn2 Zn 0.000 0.000 0.500
Na1 Na 0.000 0.500 0.000
Pb1 Pb 0.500 0.500 0.500
# E ... -7.8 eV/cell
# Energy relative to the elements ... 0.42 eV per atom

---

# GGA-PBE Li2ZrFe, optimized geometry
data_Li2ZrFe
_chemical_formula_sum 'Li2 Zr1 Fe1'
_cell_length_a 2.751
_cell_length_b 2.751
_cell_length_c 10.162
_cell_angle_alpha 90.00
_cell_angle_beta 90.00
_cell_angle_gamma 116.56
_symmetry_space_group_name_H-M 'P 1'
_symmetry_Int_Tables_number 1
loop_
_symmetry_equiv_pos_as_xyz
'x,y,z'
loop_
_atom_site_label
_atom_site_type_symbol
_atom_site_fract_x
_atom_site_fract_y
_atom_site_fract_z
Zr1 Zr 0.500 0.500 0.250
Li1 Li 0.000 0.000 0.974
Li2 Li 0.000 0.000 0.526
Fe1 Fe 0.500 0.500 0.750
# E ... -19.4 eV/cell
# Energy relative to the elements ... 0.36 eV per atom
# Energy above the lowest structure with this stoichiometry ... 71.3 kJ/mol of formula units

---

# GGA-PBE Ni4AsAu, optimized geometry
data_Ni4AsAu
_chemical_formula_sum 'Ni4 As1 Au1'
_cell_length_a 4.820
_cell_length_b 4.820
_cell_length_c 4.820
_cell_angle_alpha 60.00
_cell_angle_beta 60.00
_cell_angle_gamma 60.00
_symmetry_space_group_name_H-M 'P 1'
_symmetry_Int_Tables_number 1
loop_
_symmetry_equiv_pos_as_xyz
'x,y,z'
loop_
_atom_site_label
_atom_site_type_symbol
_atom_site_fract_x
_atom_site_fract_y
_atom_site_fract_z
Ni1 Ni 0.875 0.375 0.375
Ni2 Ni 0.375 0.375 0.375
Ni3 Ni 0.375 0.375 0.875
Ni4 Ni 0.375 0.875 0.375
As1 As 0.750 0.750 0.750
Au1 Au 0.000 0.000 0.000
# E ... -30.0 eV/cell
# Energy relative to the elements ... 0.17 eV per atom